A geometry-optimized Fe3NiRh2 structure, computed with PBE-GGA.

Output
- ΔH_f (0 K): 3.5 eV/f.u.
- Size of the total moment: 7.9 μB per cell
- VASP energy: -0.519 Ry per atom
- Distance to the lowest polymorph of the same formula: 593 meV per atom

```
6
Lattice="2.5515 0.0000 0.0000 0.0000 2.5515 0.0000 0.0000 0.0000 13.3139" Properties=species:S:1:pos:R:3 pbc="T T T"
Fe 0.0000 0.0000 0.0000
Fe 0.0000 0.0000 2.3746
Fe 0.0000 0.0000 10.9394
Ni 1.2757 1.2757 6.6570
Rh 1.2757 1.2757 4.2319
Rh 1.2757 1.2757 9.0820
```

A geometry-optimized TcW2Au structure, computed with PBE-GGA.

Output
- ΔH_f (0 K): 1.2 eV/f.u.
- Size of the total moment: 0.0 μB per cell
- VASP energy: -0.705 Ry per atom
- Distance to the lowest polymorph of the same formula: 84 meV per atom

```
4
Lattice="2.8047 0.0000 0.0000 0.0000 2.8047 0.0000 0.0000 0.0000 8.2103" Properties=species:S:1:pos:R:3 pbc="T T T"
Tc 0.0000 0.0000 0.0000
W 1.4023 1.4023 1.8980
W 1.4023 1.4023 6.3123
Au 0.0000 0.0000 4.1051
```

A geometry-optimized La6DyY4 structure, computed with PBE-GGA.

Output
- ΔH_f (0 K): 1.1 eV/f.u.
- Size of the total moment: 0.0 μB per cell
- VASP energy: -0.393 Ry per atom

```
22
Lattice="2.9643 -4.9569 0.0000 2.9643 4.9569 0.0000 0.0000 0.0000 26.3893" Properties=species:S:1:pos:R:3 pbc="T T T"
La 0.0000 0.0000 0.0000
La 0.0000 0.0000 13.1946
La 2.9643 4.5752 19.7919
La 2.9643 1.8780 2.6202
La 2.9643 1.8780 10.5744
La 2.9643 1.3457 18.0220
La 2.9643 1.3457 21.5619
La 2.9643 -1.3457 4.8273
La 2.9643 -1.3457 8.3673
La 2.9643 -1.8780 15.8148
La 2.9643 -1.8780 23.7690
La 2.9643 -4.5752 6.5973
Dy 2.9643 1.9768 6.5973
Dy 2.9643 -1.9768 19.7919
Y 2.9643 4.6667 16.4976
Y 2.9643 4.6667 23.0863
Y 2.9643 1.5441 14.3988
Y 2.9643 1.5441 25.1851
Y 2.9643 -1.5441 1.2041
Y 2.9643 -1.5441 11.9905
Y 2.9643 -4.6667 3.3030
Y 2.9643 -4.6667 9.8917
```

A geometry-optimized Ho7ScHg4 structure, computed with PBE-GGA.

Output
- ΔH_f (0 K): -1.3 eV/f.u.
- Size of the total moment: 0.0 μB per cell
- VASP energy: -0.250 Ry per atom

```
12
Lattice="7.2601 -2.7858 0.0000 7.2601 2.7858 0.0000 -5.2128 0.0000 8.1886" Properties=species:S:1:pos:R:3 pbc="T T T"
Ho 0.0000 0.0000 0.0000
Ho -0.1506 0.0000 5.6690
Ho 3.6418 0.0000 0.9408
Ho 3.1868 0.0000 4.8743
Ho 6.1206 0.0000 3.3142
Ho 5.6655 0.0000 7.2478
Ho 9.4579 0.0000 2.5196
Sc 7.2601 0.0000 0.0000
Hg -3.0652 0.0000 5.9551
Hg 0.9264 0.0000 2.8031
Hg 8.3810 0.0000 5.3854
Hg 12.3726 0.0000 2.2335
```